Entry 1:
First-principles (PBE) data for a relaxed structure of Ce3Pm2SmTe6, as listed in Alexandria via LeMat-Bulk.

Cell: 7.7228 7.7228 7.8048 Å, 99.49 99.49 120.08°
Last column: nearest neighbours and their distance in Å.
Positions (direct):
Ce 0.0000 0.0000 0.0000  6 Te 3.17-3.18
Ce 0.3326 0.6674 0.0000  6 Te 3.17-3.18
Ce 0.6674 0.3326 0.0000  6 Te 3.17-3.18
Pm 0.1665 0.8335 0.5000  6 Te 3.16
Pm 0.8335 0.1665 0.5000  6 Te 3.16
Sm 0.5000 0.5000 0.5000  6 Te 3.15
Te 0.0855 0.4177 0.2529  1 Sm 3.15, 2 Pm 3.16, 3 Ce 3.17-3.18
Te 0.2506 0.2506 0.7480  1 Sm 3.15, 2 Pm 3.16, 3 Ce 3.18
Te 0.4177 0.0855 0.2529  1 Sm 3.15, 2 Pm 3.16, 3 Ce 3.17-3.18
Te 0.5823 0.9145 0.7471  1 Sm 3.15, 2 Pm 3.16, 3 Ce 3.17-3.18
Te 0.7494 0.7494 0.2520  1 Sm 3.15, 2 Pm 3.16, 3 Ce 3.18
Te 0.9145 0.5823 0.7471  1 Sm 3.15, 2 Pm 3.16, 3 Ce 3.17-3.18

Results
The uncorrected formation energy comes out at -1.39 eV/atom. As for the symmetry: No. 12.



Entry 2:
First-principles (PBE) data for a relaxed structure of Ce3Pm3SmTe8, as listed in Alexandria via LeMat-Bulk.

Cell: 8.9327 8.9327 8.9327 Å, 59.98 59.98 59.98°
Last column: nearest neighbours and their distance in Å.
Positions (direct):
Ce 0.0000 0.5000 0.5000  6 Te 3.17
Ce 0.5000 0.0000 0.5000  6 Te 3.17
Ce 0.5000 0.5000 0.0000  6 Te 3.17
Pm 0.0000 0.0000 0.5000  6 Te 3.15
Pm 0.0000 0.5000 0.0000  6 Te 3.15
Pm 0.5000 0.0000 0.0000  6 Te 3.15
Sm 0.0000 0.0000 0.0000  6 Te 3.20
Te 0.2494 0.2494 0.2494  3 Pm 3.15, 3 Ce 3.17
Te 0.2521 0.7465 0.7465  2 Pm 3.15, 2 Ce 3.17, 1 Sm 3.20
Te 0.2535 0.2535 0.7479  2 Pm 3.15, 2 Ce 3.17, 1 Sm 3.20
Te 0.2535 0.7479 0.2535  2 Pm 3.15, 2 Ce 3.17, 1 Sm 3.20
Te 0.7465 0.2521 0.7465  2 Pm 3.15, 2 Ce 3.17, 1 Sm 3.20
Te 0.7465 0.7465 0.2521  2 Pm 3.15, 2 Ce 3.17, 1 Sm 3.20
Te 0.7479 0.2535 0.2535  2 Pm 3.15, 2 Ce 3.17, 1 Sm 3.20
Te 0.7506 0.7506 0.7506  3 Pm 3.15, 3 Ce 3.17

Results
The uncorrected formation energy comes out at -1.43 eV/atom. As for the symmetry: No. 166.



Entry 3:
First-principles (PBE) data for a relaxed structure of Ce3PmSm2Te6, as listed in Alexandria via LeMat-Bulk.

Cell: 7.7131 7.7131 7.8010 Å, 99.48 99.48 120.09°
Last column: nearest neighbours and their distance in Å.
Positions (direct):
Ce 0.0000 0.0000 0.0000  6 Te 3.17-3.18
Ce 0.3340 0.6660 0.0000  6 Te 3.17-3.18
Ce 0.6660 0.3340 0.0000  6 Te 3.17-3.18
Pm 0.5000 0.5000 0.5000  6 Te 3.15-3.16
Sm 0.1667 0.8333 0.5000  6 Te 3.14
Sm 0.8333 0.1667 0.5000  6 Te 3.14
Te 0.0832 0.4176 0.2530  2 Sm 3.14, 1 Pm 3.16, 3 Ce 3.17-3.18
Te 0.2476 0.2476 0.7464  2 Sm 3.14, 1 Pm 3.15, 3 Ce 3.17
Te 0.4176 0.0832 0.2530  2 Sm 3.14, 1 Pm 3.16, 3 Ce 3.17-3.18
Te 0.5824 0.9168 0.7470  2 Sm 3.14, 1 Pm 3.16, 3 Ce 3.17-3.18
Te 0.7524 0.7524 0.2536  2 Sm 3.14, 1 Pm 3.15, 3 Ce 3.17
Te 0.9168 0.5824 0.7470  2 Sm 3.14, 1 Pm 3.16, 3 Ce 3.17-3.18

Results
The uncorrected formation energy comes out at -1.39 eV/atom. As for the symmetry: No. 12.



Entry 4:
First-principles (PBE) data for a relaxed structure of Ce2Pm3SmTe6, as listed in Alexandria via LeMat-Bulk.

Cell: 10.0045 10.0045 8.9971 Å, 103.33 103.33 25.68°
Last column: nearest neighbours and their distance in Å.
Positions (direct):
Ce 0.1672 0.1672 0.3346  6 Te 3.16-3.17
Ce 0.8328 0.8328 0.6654  6 Te 3.16-3.17
Pm 0.1660 0.1660 0.8330  6 Te 3.15-3.18
Pm 0.5000 0.5000 0.5000  6 Te 3.15-3.17
Pm 0.8340 0.8340 0.1670  6 Te 3.15-3.18
Sm 0.5000 0.5000 0.0000  6 Te 3.15
Te 0.0001 0.0001 0.2487  3 Pm 3.15-3.17, 2 Sm 3.15, 1 Ce 3.17
Te 0.9999 0.9999 0.7513  3 Pm 3.15-3.17, 2 Sm 3.15, 1 Ce 3.17
Te 0.3340 0.3340 0.4153  3 Pm 3.15, 3 Ce 3.16-3.17
Te 0.3337 0.3337 0.9177  1 Sm 3.15, 3 Pm 3.16-3.18, 2 Ce 3.17
Te 0.6663 0.6663 0.0823  1 Sm 3.15, 3 Pm 3.16-3.18, 2 Ce 3.17
Te 0.6660 0.6660 0.5847  3 Pm 3.15, 3 Ce 3.16-3.17

Results
The uncorrected formation energy comes out at -1.40 eV/atom. As for the symmetry: No. 12.



Entry 5:
First-principles (PBE) data for a relaxed structure of Ce3PmSm4Te8, as listed in Alexandria via LeMat-Bulk.

Cell: 8.9559 8.9559 8.9559 Å, 59.59 59.59 59.59°
Last column: nearest neighbours and their distance in Å.
Positions (direct):
Ce 0.0000 0.5000 0.5000  6 Te 3.17
Ce 0.5000 0.0000 0.5000  6 Te 3.17
Ce 0.5000 0.5000 0.0000  6 Te 3.17
Pm 0.0000 0.0000 0.0000  6 Te 3.17
Sm 0.0000 0.0000 0.5000  6 Te 3.14
Sm 0.0000 0.5000 0.0000  6 Te 3.14
Sm 0.5000 0.0000 0.0000  6 Te 3.14
Sm 0.5000 0.5000 0.5000  6 Te 3.15
Te 0.2484 0.7493 0.7493  3 Sm 3.14-3.15, 1 Pm 3.17, 2 Ce 3.17
Te 0.2488 0.2488 0.2488  3 Sm 3.14, 3 Ce 3.17
Te 0.2507 0.2507 0.7516  3 Sm 3.14-3.15, 1 Pm 3.17, 2 Ce 3.17
Te 0.2507 0.7516 0.2507  3 Sm 3.14-3.15, 1 Pm 3.17, 2 Ce 3.17
Te 0.7493 0.2484 0.7493  3 Sm 3.14-3.15, 1 Pm 3.17, 2 Ce 3.17
Te 0.7493 0.7493 0.2484  3 Sm 3.14-3.15, 1 Pm 3.17, 2 Ce 3.17
Te 0.7512 0.7512 0.7512  3 Sm 3.14, 3 Ce 3.17
Te 0.7516 0.2507 0.2507  3 Sm 3.14-3.15, 1 Pm 3.17, 2 Ce 3.17

Results
The uncorrected formation energy comes out at -1.39 eV/atom. As for the symmetry: No. 166.



Entry 6:
First-principles (PBE) data for a relaxed structure of Ce2PmSm3Te6, as listed in Alexandria via LeMat-Bulk.

Cell: 9.9908 9.9908 8.9827 Å, 103.38 103.38 25.67°
Last column: nearest neighbours and their distance in Å.
Positions (direct):
Ce 0.1670 0.1670 0.3346  6 Te 3.17-3.18
Ce 0.8330 0.8330 0.6654  6 Te 3.17-3.18
Pm 0.5000 0.5000 0.0000  6 Te 3.16-3.17
Sm 0.1656 0.1656 0.8331  6 Te 3.13-3.16
Sm 0.5000 0.5000 0.5000  6 Te 3.13-3.15
Sm 0.8344 0.8344 0.1669  6 Te 3.13-3.16
Te 0.9998 0.9998 0.2510  3 Sm 3.13-3.15, 2 Pm 3.16, 1 Ce 3.17
Te 0.0002 0.0002 0.7490  3 Sm 3.13-3.15, 2 Pm 3.16, 1 Ce 3.17
Te 0.3327 0.3327 0.9183  3 Sm 3.14-3.16, 1 Pm 3.17, 2 Ce 3.18
Te 0.3344 0.3344 0.4140  3 Sm 3.13-3.14, 3 Ce 3.17
Te 0.6656 0.6656 0.5860  3 Sm 3.13-3.14, 3 Ce 3.17
Te 0.6673 0.6673 0.0817  3 Sm 3.14-3.16, 1 Pm 3.17, 2 Ce 3.18

Results
The uncorrected formation energy comes out at -1.39 eV/atom. As for the symmetry: No. 12.



Entry 7:
First-principles (PBE) data for a relaxed structure of Ce2PmSmTl4, as listed in Alexandria via LeMat-Bulk.

Cell: 9.5278 9.5278 9.5278 Å, 33.55 33.55 33.55°
Last column: nearest neighbours and their distance in Å.
Positions (direct):
Ce 0.2499 0.2499 0.2499  8 Tl 3.36-3.38
Ce 0.7501 0.7501 0.7501  8 Tl 3.36-3.38
Pm 0.0000 0.0000 0.0000  8 Tl 3.37
Sm 0.5000 0.5000 0.5000  8 Tl 3.36-3.37
Tl 0.1252 0.1252 0.1252  4 Ce 3.36-3.37, 3 Sm 3.37, 1 Pm 3.37
Tl 0.3752 0.3752 0.3752  1 Sm 3.36, 4 Ce 3.37-3.38, 3 Pm 3.37
Tl 0.6248 0.6248 0.6248  1 Sm 3.36, 4 Ce 3.37-3.38, 3 Pm 3.37
Tl 0.8748 0.8748 0.8748  4 Ce 3.36-3.37, 3 Sm 3.37, 1 Pm 3.37

Results
For the formation energy, the calculation gives -224 kJ/mol of formula units. As for the symmetry: No. 166.



Entry 8:
First-principles (PBE) data for a relaxed structure of CePmSm2Tl4, as listed in Alexandria via LeMat-Bulk.

Cell: 9.5137 9.5137 9.5137 Å, 33.50 33.50 33.50°
Last column: nearest neighbours and their distance in Å.
Positions (direct):
Ce 0.0000 0.0000 0.0000  8 Tl 3.36-3.37
Pm 0.5000 0.5000 0.5000  8 Tl 3.36
Sm 0.2497 0.2497 0.2497  8 Tl 3.35-3.38
Sm 0.7503 0.7503 0.7503  8 Tl 3.35-3.38
Tl 0.1252 0.1252 0.1252  4 Sm 3.35-3.36, 3 Pm 3.36, 1 Ce 3.37
Tl 0.3752 0.3752 0.3752  1 Pm 3.36, 4 Sm 3.36-3.38, 3 Ce 3.36
Tl 0.6248 0.6248 0.6248  1 Pm 3.36, 4 Sm 3.36-3.38, 3 Ce 3.36
Tl 0.8748 0.8748 0.8748  4 Sm 3.35-3.36, 3 Pm 3.36, 1 Ce 3.37

Results
For the formation energy, the calculation gives -259 kJ/mol of formula units. As for the symmetry: No. 166.



| no. | D(E_F) (states/eV per cell) | raw total energy (eV/atom) |
| --- | --- | --- |
| 1 | 23.543 | -5.632 |
| 2 | 24.322 | -5.555 |
| 3 | 23.510 | -5.625 |
| 4 | 17.739 | -5.537 |
| 5 | 26.239 | -5.547 |
| 6 | 17.636 | -5.524 |
| 7 | 19.285 | -4.141 |
| 8 | 12.874 | -4.033 |